A plane-wave DFT calculation with PBE was carried out for an optimized crystal structure of MnMo5.

It has space group P6/mmm (No. 191), with a = 5.2714 Å, b = 5.2714 Å, c = 4.4316 Å, α = 90.00°, β = 90.00° and γ = 120.00°. The asymmetric unit holds Mn at (0.0000, 0.0000, 0.0000), Mo at (0.0000, 0.5000, 0.5000) and Mo at (0.3333, 0.6667, 0.0000).

The energy above the lowest structure with this stoichiometry is 0.567 eV/atom. The energy of formation comes out at 0.628 eV/atom.


A plane-wave DFT calculation with PBE was carried out for an optimized crystal structure of MnMo.

It has space group P6_3/mmc (No. 194), with a = 7.0639 Å, b = 7.0639 Å, c = 3.9195 Å, α = 90.00°, β = 90.00° and γ = 120.00°. The asymmetric unit holds Mn at (0.1126, 0.5563, 0.2500) and Mo at (0.1536, 0.3072, 0.7500).

The energy of formation comes out at 0.511 eV/atom.


Summary of total magnetic moment in μB per atom
0.611; 0.000
(order as listed above)